# Ti4CN3 meta-GGA SCAN single point on PBEsol structure
# Calculated total energy, eV per atom: -14.4863
# Total magnetic moment, Bohr magnetons per cell: 0.00
# Crystal system: trigonal
# Volume, Å³/f.u.: 75.8
data_Ti4CN3
_cell_length_a 2.9914
_cell_length_b 2.9914
_cell_length_c 29.3278
_cell_angle_alpha 90.00
_cell_angle_beta 90.00
_cell_angle_gamma 120.00
_symmetry_space_group_name_H-M 'R -3 m'
_symmetry_Int_Tables_number 166
_symmetry_space_group_name_Hall '-R 3 2"'
loop_
_atom_site_label
_atom_site_fract_x
_atom_site_fract_y
_atom_site_fract_z
_atom_site_occupancy
Ti1 0.0000 0.0000 0.1250 1
Ti2 0.0000 0.0000 0.3743 1
C1 0.0000 0.0000 0.5000 1
N1 0.0000 0.0000 0.0000 1
N2 0.0000 0.0000 0.2510 1